(1)
The following is a PBE calculation of a relaxed BaNpSe3 crystal, from Alexandria via LeMat-Bulk.

Results
- Total moment: 3.0 μB per formula unit
- E_tot: -32.42 eV per formula unit
- Crystal system: triclinic
- V: 166.1 Å³/cell

abc: 5.4894 5.5005 5.5040
angles: 88.09 90.15 90.08
Last column: magnetic moment on the atom in μB.
Fractional positions:
Np (0.4876, 0.5053, 0.5056)  3.32
Ba (0.9904, 0.9582, 0.9270)  0.00
Se (0.4869, 0.0064, 0.5227)  -0.11
Se (0.9876, 0.4994, 0.5267)  -0.11
Se (0.4875, 0.5307, 0.0080)  -0.12

(2)
The following is a PBE calculation of a relaxed Ba2NpSe4 crystal, from Alexandria via LeMat-Bulk.

Results
- Total moment: 3.0 μB per formula unit
- Energy above the lowest structure with this stoichiometry: 44 meV/atom
- E_tot: -41.91 eV per formula unit
- Crystal system: tetragonal
- V: 243.3 Å³/cell

abc: 5.4278 5.4278 9.1057
angles: 72.66 72.66 90.00
Last column: magnetic moment on the atom in μB.
Fractional positions:
Np (0.0000, 0.0000, 0.0000)  3.29
Ba (0.6384, 0.6384, 0.7233)  0.00
Ba (0.3616, 0.3616, 0.2767)  0.00
Se (0.8314, 0.8314, 0.3372)  -0.07
Se (0.1686, 0.1686, 0.6628)  -0.07
Se (0.0000, 0.5000, 0.0000)  -0.09
Se (0.5000, 0.0000, 0.0000)  -0.09

(3)
The following is a PBE calculation of a relaxed Ba3NpSe5 crystal, from Alexandria via LeMat-Bulk.

Results
- Total moment: 3.0 μB per formula unit
- E_tot: -49.99 eV per formula unit
- Crystal system: tetragonal
- V: 618.8 Å³/cell

abc: 8.8655 8.8655 10.0637
angles: 116.13 116.13 90.00
Last column: magnetic moment on the atom in μB.
Fractional positions:
Ba (0.6579, 0.1579, 0.0000)  0.00
Ba (0.3421, 0.8421, 0.0000)  0.00
Ba (0.8421, 0.6579, 0.0000)  0.00
Ba (0.1579, 0.3421, 0.0000)  0.00
Ba (0.2500, 0.2500, 0.5000)  0.00
Ba (0.7500, 0.7500, 0.5000)  0.00
Np (0.7500, 0.2500, 0.5000)  3.37
Np (0.2500, 0.7500, 0.5000)  3.37
Se (0.0206, 0.5206, 0.7116)  -0.08
Se (0.6910, 0.1910, 0.7116)  -0.08
Se (0.1910, 0.0206, 0.7116)  -0.08
Se (0.5206, 0.6910, 0.7116)  -0.08
Se (0.9794, 0.4794, 0.2884)  -0.08
Se (0.3090, 0.8090, 0.2884)  -0.08
Se (0.8090, 0.9794, 0.2884)  -0.08
Se (0.4794, 0.3090, 0.2884)  -0.08
Se (0.5000, 0.5000, 0.0000)  -0.09
Se (0.0000, 0.0000, 0.0000)  -0.09

(4)
The following is a PBE calculation of a relaxed Ba2Np3Se8 crystal, from Alexandria via LeMat-Bulk.

Results
- Total moment: 9.0 μB per formula unit
- E_tot: -88.37 eV per formula unit
- Crystal system: monoclinic
- V: 452.8 Å³/cell

abc: 7.2587 8.5125 8.8368
angles: 118.79 106.46 90.00
Last column: magnetic moment on the atom in μB.
Fractional positions:
Ba (0.3333, 0.2702, 0.5405)  -0.01
Ba (0.6667, 0.7298, 0.4595)  -0.01
Np (0.5000, 0.0000, 0.0000)  3.35
Np (0.0000, 0.2553, 0.0000)  3.40
Np (0.0000, 0.7447, 0.0000)  3.40
Se (0.9677, 0.6129, 0.2259)  -0.14
Se (0.0323, 0.3871, 0.7741)  -0.14
Se (0.9031, 0.1021, 0.2043)  -0.12
Se (0.0969, 0.8979, 0.7957)  -0.12
Se (0.6047, 0.6673, 0.7869)  -0.12
Se (0.6047, 0.1195, 0.7869)  -0.12
Se (0.3953, 0.8805, 0.2131)  -0.12
Se (0.3953, 0.3327, 0.2131)  -0.12

(5)
The following is a PBE calculation of a relaxed BaNpTeSe2 crystal, from Alexandria via LeMat-Bulk.

Results
- Total moment: 3.0 μB per formula unit
- E_tot: -31.41 eV per formula unit
- Crystal system: tetragonal
- V: 182.1 Å³/cell

abc: 5.4778 5.4777 6.0694
angles: 90.00 90.00 90.00
Last column: magnetic moment on the atom in μB.
Fractional positions:
Ba (0.5000, 0.5000, 0.6199)  0.00
Np (0.0000, 0.0000, 0.9872)  3.39
Te (0.0000, 0.0000, 0.4825)  -0.12
Se (0.0000, 0.5000, 0.9552)  -0.12
Se (0.5000, 0.0000, 0.9552)  -0.12

(6)
The following is a PBE calculation of a relaxed Ba2Np3TlSe8 crystal, from Alexandria via LeMat-Bulk.

Results
- Total moment: 10.0 μB per formula unit
- E_tot: -90.47 eV per formula unit
- Crystal system: trigonal
- V: 505.2 Å³/cell

abc: 8.6543 8.6543 9.2535
angles: 62.12 62.12 60.00
Last column: magnetic moment on the atom in μB.
Fractional positions:
Ba (0.1290, 0.1290, 0.6131)  -0.01
Ba (0.5003, 0.5003, 0.4990)  -0.01
Np (0.5003, 0.9959, 0.0035)  3.59
Np (0.9959, 0.5003, 0.0035)  3.59
Np (0.5003, 0.5003, 0.0035)  3.59
Tl (0.8723, 0.8723, 0.3832)  -0.02
Se (0.2677, 0.2677, 0.1970)  -0.10
Se (0.7287, 0.7287, 0.8139)  -0.12
Se (0.2486, 0.2486, 0.8028)  -0.08
Se (0.7001, 0.2486, 0.8028)  -0.08
Se (0.2486, 0.7001, 0.8028)  -0.08
Se (0.7536, 0.2938, 0.1990)  -0.10
Se (0.2938, 0.7536, 0.1990)  -0.10
Se (0.7536, 0.7536, 0.1990)  -0.10

(7)
The following is a PBE calculation of a relaxed Ba2NpTl3Se6 crystal, from Alexandria via LeMat-Bulk.

Results
- Total moment: 2.0 μB per formula unit
- E_tot: -58.36 eV per formula unit
- Crystal system: monoclinic
- V: 410.3 Å³/cell

abc: 7.9333 7.9333 7.9552
angles: 99.44 99.44 119.87
Last column: magnetic moment on the atom in μB.
Fractional positions:
Ba (0.3332, 0.6668, 0.0000)  -0.01
Ba (0.6668, 0.3332, 0.0000)  -0.01
Np (0.0000, 0.0000, 0.0000)  2.85
Tl (0.1595, 0.8405, 0.5000)  -0.02
Tl (0.8405, 0.1595, 0.5000)  -0.02
Tl (0.5000, 0.5000, 0.5000)  -0.02
Se (0.9277, 0.6444, 0.7869)  -0.10
Se (0.7856, 0.7856, 0.2226)  -0.07
Se (0.0723, 0.3556, 0.2131)  -0.10
Se (0.6444, 0.9277, 0.7869)  -0.10
Se (0.2144, 0.2144, 0.7774)  -0.07
Se (0.3556, 0.0723, 0.2131)  -0.10

(8)
The following is a PBE calculation of a relaxed BaNpTl2Se4 crystal, from Alexandria via LeMat-Bulk.

Results
- Total moment: 3.0 μB per formula unit
- E_tot: -41.95 eV per formula unit
- Crystal system: monoclinic
- V: 264.2 Å³/cell

abc: 4.4191 8.0359 7.8459
angles: 71.45 90.00 90.00
Last column: magnetic moment on the atom in μB.
Fractional positions:
Ba (0.5000, 0.5000, 0.0000)  -0.01
Np (0.0000, 0.5000, 0.5000)  3.43
Tl (0.0000, 0.0000, 0.0000)  -0.01
Tl (0.5000, 0.0000, 0.5000)  -0.02
Se (0.0000, 0.7167, 0.7182)  -0.08
Se (0.0000, 0.2833, 0.2818)  -0.08
Se (0.5000, 0.7068, 0.2950)  -0.09
Se (0.5000, 0.2932, 0.7050)  -0.09

What energy relative to the elements, uncorrected values result from the calculations? In sequence: -1.42 -1.60 -1.54 -1.37 -1.29 -1.25 -1.13 -1.05 eV/atom.